Computed, not measured: a geometry-optimized SnPdPt2 structure at the PBE-GGA level of DFT.

Unit cell a=4.1357 b=4.1309 c=4.8783 alpha=115.05 beta=115.08 gamma=90.00
With the nearest neighbours (Å) after each atom.
Atoms (fractional coordinates):
Sn (0.5000, 0.5000, 0.0000)  8 Pt 2.84-2.92, 4 Pd 2.84-2.85
Pd (0.7498, 0.2498, 0.4996)  4 Sn 2.84-2.85, 8 Pt 2.84-2.92
Pt (0.0000, 0.0000, 0.9999)  4 Pt 2.84, 4 Pd 2.84, 4 Sn 2.92
Pt (0.2502, 0.7502, 0.5004)  4 Sn 2.84-2.85, 4 Pt 2.84, 4 Pd 2.92

Calculated values
Its mass density is 15.31 g cm⁻³. Its size of the total moment is 0.00 μB per formula unit. The calculation puts the density of states at the Fermi level at 1.9 states/eV/f.u. As for the total energy: -5.69 eV/atom.

Computed, not measured: a geometry-optimized PuCdCoRh structure at the PBE-GGA level of DFT.

Unit cell a=4.6397 b=4.6397 c=4.6397 alpha=60.00 beta=60.00 gamma=60.00
With the nearest neighbours (Å) after each atom.
Atoms (fractional coordinates):
Co (0.7500, 0.7500, 0.7500)  4 Cd 2.84, 4 Pu 2.84
Cd (0.0000, 0.0000, 0.0000)  4 Co 2.84, 4 Rh 2.84
Rh (0.2500, 0.2500, 0.2500)  4 Pu 2.84, 4 Cd 2.84
Pu (0.5000, 0.5000, 0.5000)  4 Rh 2.84, 4 Co 2.84

Calculated values
Its mass density is 12.18 g cm⁻³. Its size of the total moment is 3.70 μB per formula unit. The calculation puts the density of states at the Fermi level at 6.4 states/eV/f.u. As for the total energy: -7.53 eV/atom.

Computed, not measured: a geometry-optimized TaHg2Rh structure at the PBE-GGA level of DFT.

Unit cell a=9.5144 b=9.5144 c=9.5144 alpha=18.29 beta=18.29 gamma=18.29
With the nearest neighbours (Å) after each atom.
Atoms (fractional coordinates):
Ta (0.0000, 0.0000, 0.0000)  6 Hg 3.01, 6 Ta 3.02
Hg (0.7542, 0.7542, 0.7542)  3 Rh 2.82, 3 Ta 3.01, 6 Hg 3.02
Hg (0.2458, 0.2458, 0.2458)  3 Rh 2.82, 3 Ta 3.01, 6 Hg 3.02
Rh (0.5000, 0.5000, 0.5000)  6 Hg 2.82, 6 Rh 3.02

Calculated values
Its mass density is 15.36 g cm⁻³. Its size of the total moment is 0.00 μB per formula unit. The calculation puts the density of states at the Fermi level at 4.9 states/eV/f.u. As for the total energy: -4.63 eV/atom. The calculation puts the energy relative to the lowest polymorph listed for this composition at 317 meV/atom.

Computed, not measured: a geometry-optimized ErTm2Mg5 structure at the PBE-GGA level of DFT.

Unit cell a=5.2131 b=5.2131 c=8.3639 alpha=108.16 beta=108.16 gamma=90.00
With the nearest neighbours (Å) after each atom.
Atoms (fractional coordinates):
Er (0.0000, 0.0000, 0.0000)  8 Mg 3.17
Tm (0.7458, 0.7458, 0.4917)  8 Mg 3.22-3.29
Tm (0.2542, 0.2542, 0.5083)  8 Mg 3.22-3.29
Mg (0.5000, 0.5000, 0.0000)  8 Mg 3.17
Mg (0.8795, 0.3795, 0.7590)  2 Mg 3.17, 2 Er 3.17, 4 Tm 3.22-3.29
Mg (0.3795, 0.8795, 0.7590)  2 Er 3.17, 2 Mg 3.17, 4 Tm 3.22-3.29
Mg (0.1205, 0.6205, 0.2410)  2 Er 3.17, 2 Mg 3.17, 4 Tm 3.22-3.29
Mg (0.6205, 0.1205, 0.2410)  2 Mg 3.17, 2 Er 3.17, 4 Tm 3.22-3.29

Calculated values
Its mass density is 5.10 g cm⁻³. Its size of the total moment is 0.00 μB per formula unit. The calculation puts the density of states at the Fermi level at 5.7 states/eV/f.u. As for the total energy: -2.74 eV/atom.